No. 1
The following is a PBE with a Hubbard U calculation of a geometry-optimized CrBr2O structure, from the Alexandria database.

## Properties
As for the total moment: 4.0 μB per cell. As for the final energy: -15.70 eV for the cell shown.

a b c (Å): 7.3498 7.3498 7.3498
angles (deg): 31.65 31.65 31.65
Last column: nearest neighbours and their distance in Å.
Atoms (fractional coordinates):
Cr 0.0000 0.0000 0.0000  6 Br 2.72
Br 0.4020 0.4020 0.4020  1 O 2.05
Br 0.5980 0.5980 0.5980  1 O 2.05
O 0.5000 0.5000 0.5000  2 Br 2.05



No. 2
The following is a PBE with a Hubbard U calculation of a geometry-optimized CrBr2O structure, from the Alexandria database.

## Properties
As for the total moment: 4.0 μB per cell. As for the final energy: -30.87 eV for the cell shown.

a b c (Å): 6.2738 6.2738 6.2738
angles (deg): 110.25 110.25 107.93
Last column: nearest neighbours and their distance in Å.
Atoms (fractional coordinates):
Cr 0.0000 0.0000 0.0000  4 Br 2.56
Cr 0.7500 0.2500 0.5000  4 Br 2.56
Br 0.0942 0.6250 0.9692  2 Cr 2.56, 2 O 2.85
Br 0.3750 0.3442 0.4692  2 Cr 2.56, 2 O 2.85
Br 0.6558 0.1250 0.0308  2 Cr 2.56, 2 O 2.85
Br 0.8750 0.9058 0.5308  2 Cr 2.56, 2 O 2.85
O 0.2500 0.7500 0.5000  4 Br 2.85
O 0.5000 0.5000 0.0000  4 Br 2.85



No. 3
The following is a PBE with a Hubbard U calculation of a geometry-optimized CrBr3O structure, from the Alexandria database.

## Properties
As for the total moment: 0.1 μB per cell. As for the relative energy among the computed polymorphs: 164.9 meV per atom. As for the final energy: -12.19 eV for the cell shown.

a b c (Å): 4.8647 4.8647 4.8647
angles (deg): 90.00 90.00 90.00
Last column: nearest neighbours and their distance in Å.
Atoms (fractional coordinates):
Cr 0.0000 0.0000 0.0000  6 Br 2.43
Br 0.0000 0.0000 0.5000  2 Cr 2.43
Br 0.0000 0.5000 0.0000  2 Cr 2.43
Br 0.5000 0.0000 0.0000  2 Cr 2.43
O 0.5000 0.5000 0.5000  12 Br 3.44



No. 4
The following is a PBE with a Hubbard U calculation of a geometry-optimized CrBr2O structure, from the Alexandria database.

## Properties
As for the total moment: 2.0 μB per cell. As for the final energy: -14.60 eV for the cell shown.

a b c (Å): 4.7234 4.7234 4.7234
angles (deg): 60.00 60.00 60.00
Last column: nearest neighbours and their distance in Å.
Atoms (fractional coordinates):
Cr 0.0000 0.0000 0.0000  8 Br 2.89
Br 0.2500 0.2500 0.2500  4 O 2.89, 4 Cr 2.89
Br 0.7500 0.7500 0.7500  4 O 2.89, 4 Cr 2.89
O 0.5000 0.5000 0.5000  8 Br 2.89



No. 5
The following is a PBE with a Hubbard U calculation of a geometry-optimized Cr3BrO structure, from the Alexandria database.

## Properties
As for the total moment: 15.0 μB per cell. As for the relative energy among the computed polymorphs: 1130.3 meV per atom. As for the final energy: -24.61 eV for the cell shown.

a b c (Å): 5.0149 5.0149 5.0149
angles (deg): 90.00 90.00 90.00
Last column: nearest neighbours and their distance in Å.
Atoms (fractional coordinates):
Cr 0.0000 0.0000 0.5000  2 Br 2.51
Cr 0.0000 0.5000 0.0000  2 Br 2.51
Cr 0.5000 0.0000 0.0000  2 Br 2.51
Br 0.0000 0.0000 0.0000  6 Cr 2.51
O 0.5000 0.5000 0.5000  12 Cr 3.55



No. 6
The following is a PBE with a Hubbard U calculation of a geometry-optimized Cr3BrO structure, from the Alexandria database.

## Properties
As for the total moment: 14.8 μB per cell. As for the relative energy among the computed polymorphs: 0.0 meV per atom. As for the final energy: -30.27 eV for the cell shown.

a b c (Å): 4.5227 4.5227 4.5227
angles (deg): 90.00 90.00 90.00
Last column: nearest neighbours and their distance in Å.
Atoms (fractional coordinates):
Cr 0.0000 0.0000 0.5000  2 O 2.26
Cr 0.0000 0.5000 0.0000  2 O 2.26
Cr 0.5000 0.0000 0.0000  2 O 2.26
Br 0.5000 0.5000 0.5000  12 Cr 3.20
O 0.0000 0.0000 0.0000  6 Cr 2.26